PmRu2C | PBE-GGA | relaxed

Cell lengths 4.714, 4.714, 3.201 Å; angles 90.00, 90.00, 115.73 degrees
Positions (direct):
1 Pm 0.000 0.000 0.000
2 Ru 0.338 0.662 0.500
3 Ru 0.662 0.338 0.500
4 C 0.500 0.500 0.000

Results
* density: 9.31 g/cm³
* DOS(E_F): 0.777 states/eV per atom
* ΔH_f (0 K): 6.12 kJ/mol of atoms
* final energy: -8.0681 eV per atom


Pm3RuC4 | PBE-GGA | relaxed

Cell lengths 6.760, 6.760, 6.741 Å; angles 107.52, 107.52, 32.16 degrees
Positions (direct):
1 Pm 0.000 0.000 0.000
2 Pm 0.192 0.192 0.706
3 Pm 0.808 0.808 0.294
4 Ru 0.500 0.500 0.500
5 C 0.356 0.356 0.007
6 C 0.421 0.421 0.202
7 C 0.579 0.579 0.798
8 C 0.644 0.644 0.993

Results
* density: 6.23 g/cm³
* DOS(E_F): 0.413 states/eV per atom
* ΔH_f (0 K): -5.48 kJ/mol of atoms
* final energy: -7.6097 eV per atom


Pm3RuC | PBE-GGA | relaxed

Cell lengths 6.804, 6.804, 7.104 Å; angles 90.00, 90.00, 134.77 degrees
Positions (direct):
1 Pm 0.041 0.959 0.750
2 Pm 0.357 0.643 0.520
3 Pm 0.357 0.643 0.980
4 Pm 0.643 0.357 0.020
5 Pm 0.643 0.357 0.480
6 Pm 0.959 0.041 0.250
7 Ru 0.172 0.828 0.250
8 Ru 0.828 0.172 0.750
9 C 0.479 0.521 0.250
10 C 0.521 0.479 0.750

Results
* density: 7.80 g/cm³
* DOS(E_F): 0.649 states/eV per atom
* ΔH_f (0 K): 1.02 kJ/mol of atoms
* final energy: -6.5398 eV per atom